(1)
This record from Alexandria via LeMat-Bulk describes a geometry-optimized LaTb3In structure. The functional is GGA-PBE.

a = 6.6620 Å, b = 6.6620 Å, c = 9.8224 Å
α = 106.20°, β = 106.20°, γ = 49.55°
Last column: nearest neighbours and their distance in Å.
Positions (direct):
La  0.0522  0.0522  0.3552  1 La 3.45, 8 Tb 3.59-3.78, 2 In 3.63
La  0.9478  0.9478  0.6448  1 La 3.45, 8 Tb 3.59-3.78, 2 In 3.63
Tb  0.1591  0.1591  0.0322  3 In 3.21-3.24, 2 Tb 3.53
Tb  0.2879  0.2879  0.7371  1 In 3.16, 4 Tb 3.35-3.53
Tb  0.3579  0.3579  0.3964  1 In 3.20, 3 Tb 3.35-3.42
Tb  0.6421  0.6421  0.6036  1 In 3.20, 3 Tb 3.35-3.42
Tb  0.7121  0.7121  0.2629  1 In 3.16, 4 Tb 3.35-3.53
Tb  0.8409  0.8409  0.9678  3 In 3.21-3.24, 2 Tb 3.53
In  0.4403  0.4403  0.1161  1 In 3.05, 5 Tb 3.16-3.24
In  0.5597  0.5597  0.8839  1 In 3.05, 5 Tb 3.16-3.24

Calculated values
energy above the lowest structure with this stoichiometry = 0.015 eV per atom
formation energy from the elements = -15 kJ/mol of atoms
raw total energy = -44.67 eV per cell



(2)
This record from Alexandria via LeMat-Bulk describes a geometry-optimized LiIn5Ga4 structure. The functional is GGA-PBE.

a = 3.7852 Å, b = 3.7852 Å, c = 15.8412 Å
α = 90.00°, β = 90.00°, γ = 90.00°
Last column: nearest neighbours and their distance in Å.
Positions (direct):
Li  0.0000  0.0000  0.0000  8 In 3.10, 2 Ga 3.15
In  0.5000  0.5000  0.0987  4 Li 3.10, 2 In 3.11-3.13, 4 Ga 3.11
In  0.5000  0.5000  0.2949  8 Ga 3.08-3.13, 2 In 3.11-3.25
In  0.5000  0.5000  0.5000  8 Ga 3.13, 2 In 3.25
In  0.5000  0.5000  0.7051  8 Ga 3.08-3.13, 2 In 3.11-3.25
In  0.5000  0.5000  0.9013  4 Li 3.10, 2 In 3.11-3.13, 4 Ga 3.11
Ga  0.0000  0.0000  0.1987  8 In 3.08-3.11, 1 Li 3.15, 1 Ga 3.16
Ga  0.0000  0.0000  0.3979  8 In 3.13, 2 Ga 3.16-3.23
Ga  0.0000  0.0000  0.6021  8 In 3.13, 2 Ga 3.16-3.23
Ga  0.0000  0.0000  0.8013  8 In 3.08-3.11, 1 Li 3.15, 1 Ga 3.16

Calculated values
formation energy from the elements = 0 kJ/mol of atoms
raw total energy = -27.71 eV per cell